Entry 1:
The following is a PBE calculation of a geometry-optimized PaRu2 structure, from Alexandria via LeMat-Bulk.

It has space group Fd-3m (No. 227, origin choice 2), with a = 7.521 Å, b = 7.521 Å, c = 7.521 Å, α = 90.00°, β = 90.00° and γ = 90.00°. The distinct sites, in fractional coordinates, are Pa at (0.125, 0.125, 0.125) and Ru at (0.000, 0.000, 0.500).

The formation energy from the elements is -0.95 eV/f.u. The crystal system is cubic. The calculation puts the excess energy over the best structure of this formula in the dataset at 113 meV/atom. The density of states at the Fermi level comes out at 2.222 states/eV/atom.

=====

Entry 2:
The following is a PBE calculation of a geometry-optimized KTlBrF2 structure, from Alexandria via LeMat-Bulk.

It has space group P4/mmm (No. 123), with a = 4.747 Å, b = 4.747 Å, c = 5.877 Å, α = 90.00°, β = 90.00° and γ = 90.00°. The distinct sites, in fractional coordinates, are K at (0.000, 0.000, 0.000), Tl at (0.500, 0.500, 0.500), Br at (0.500, 0.500, 0.000) and F at (0.000, 0.500, 0.500).

As for the energy relative to the elements, uncorrected: -1.739 eV per atom. The crystal system is tetragonal. The density of states at the Fermi level comes out at 0.196 states/eV/atom.

=====

Copy entry 1 word for word.
The following is a PBE calculation of a geometry-optimized PaRu2 structure, from Alexandria via LeMat-Bulk.

It has space group Fd-3m (No. 227, origin choice 2), with a = 7.521 Å, b = 7.521 Å, c = 7.521 Å, α = 90.00°, β = 90.00° and γ = 90.00°. The distinct sites, in fractional coordinates, are Pa at (0.125, 0.125, 0.125) and Ru at (0.000, 0.000, 0.500).

The formation energy from the elements is -0.95 eV/f.u. The crystal system is cubic. The calculation puts the excess energy over the best structure of this formula in the dataset at 113 meV/atom. The density of states at the Fermi level comes out at 2.222 states/eV/atom.